1.
An optimized crystal structure of NaGdPO, computed with PBE-GGA.

Its total DFT energy (no corrections) is -5.5985 eV per atom. The value obtained for the energy above the most stable polymorph in this dataset is 103.0 meV/atom. As for the crystal system: orthorhombic.

The structure belongs to space group Pmc2_1 (No. 26); the cell edges are 3.6346, 7.9720 and 5.9069 Å and the angles 90.00°, 90.00° and 90.00°. The asymmetric unit holds Na at (0.0000, 0.0822, 0.0000), Gd at (0.5000, 0.3159, 0.3982), P at (0.5000, 0.3360, 0.8854) and O at (0.0000, 0.1750, 0.3659).

---

2.
An optimized crystal structure of NaGdPO, computed with PBE-GGA.

Its total DFT energy (no corrections) is -5.6849 eV per atom. The value obtained for the energy above the most stable polymorph in this dataset is 16.7 meV/atom. As for the crystal system: tetragonal.

The structure belongs to space group P4/nmm (No. 129, origin choice 2); the cell edges are 3.8892, 3.8892 and 10.1088 Å and the angles 90.00°, 90.00° and 90.00°. The asymmetric unit holds Na at (0.2500, 0.7500, 0.0000), Gd at (0.2500, 0.2500, 0.3865), P at (0.2500, 0.2500, 0.7938) and O at (0.2500, 0.7500, 0.5000).